[1]
# BaCaCr2Pd

Crystalline BaCaCr2Pd at its relaxed geometry (PBE, the Alexandria database).

Lattice parameters (Å, degrees): 5.8223 5.8223 5.4073 90.00 90.00 90.00
Space group P4/mmm (No. 123)
Unique sites:
Ba (0.0000, 0.0000, 0.0000) (multiplicity 1)
Ca (0.5000, 0.5000, 0.5000) (multiplicity 1)
Cr (0.0000, 0.5000, 0.0000) (multiplicity 2)
Pd (0.0000, 0.0000, 0.5000) (multiplicity 1)

Properties
Total magnetic moment ... 9.90 μB per formula unit
DFT total energy ... -4.2865 eV/atom
Formation energy ... 1.3862 eV/atom
Crystal system ... tetragonal



[2]
# BaCaCr2Ru

Crystalline BaCaCr2Ru at its relaxed geometry (PBE, the Alexandria database).

Lattice parameters (Å, degrees): 4.9486 4.9486 5.4179 90.00 90.00 90.00
Space group P4/mmm (No. 123)
Unique sites:
Ba (0.0000, 0.0000, 0.0000) (multiplicity 1)
Ca (0.5000, 0.5000, 0.0000) (multiplicity 1)
Cr (0.0000, 0.5000, 0.5000) (multiplicity 2)
Ru (0.5000, 0.5000, 0.5000) (multiplicity 1)

Properties
Total magnetic moment ... 6.65 μB per formula unit
DFT total energy ... -5.8530 eV/atom
Formation energy ... 0.6364 eV/atom
Crystal system ... tetragonal



Number 1: DOS at the Fermi energy 1.62 states/eV/atom. Number 2: DOS at the Fermi energy 0.99 states/eV/atom.